Compound: LiNdDy
Source: Alexandria via LeMat-Bulk
Functional: PBE
Structure: relaxed

Computed properties:
Total energy   -10.89 eV per formula unit
SG   P4/nmm (129)
ΔE to the lowest computed polymorph   0.0497 eV per atom
ΔH_f (0 K)   0.13 eV/atom

a = 3.622 Å, b = 3.622 Å, c = 13.428 Å
α = 90.00°, β = 90.00°, γ = 90.00°
Fractional coordinates of all 6 atoms:
Li (0.000, 0.000, 0.000)
Li (0.500, 0.500, 0.000)
Dy (0.500, 0.000, 0.407)
Dy (0.000, 0.500, 0.593)
Nd (0.000, 0.500, 0.218)
Nd (0.500, 0.000, 0.782)